# AlPbWO6 (PBE+U, relaxed)
data_AlPbWO6
_chemical_formula_sum 'Al1 Pb1 W1 O6'
_cell_length_a 5.1637
_cell_length_b 5.1637
_cell_length_c 4.9905
_cell_angle_alpha 90.00
_cell_angle_beta 90.00
_cell_angle_gamma 120.00
_space_group_name_H-M_alt 'P 3 1 2'
_space_group_IT_number 149
loop_
_space_group_symop_operation_xyz
'x,y,z'
'-y,x-y,z'
'-x+y,-x,z'
'-y,-x,-z'
'-x+y,y,-z'
'x,x-y,-z'
loop_
_atom_site_label
_atom_site_type_symbol
_atom_site_fract_x
_atom_site_fract_y
_atom_site_fract_z
_atom_site_occupancy
Al1 Al 0.0000 0.0000 0.0000 1
Pb1 Pb 0.6667 0.3333 0.5000 1
W1 W 0.3333 0.6667 0.0000 1
O1 O 0.0396 0.3289 0.2110 1
# * final energy: -62.12 eV for the cell shown
# * M_tot: 0.000 μB/atom